Tm2ScIn9 (PBE, relaxed); density = 8.13 g/cm³; E = -44.055 eV per cell; formation energy = -0.345 eV per atom; DOS at the Fermi energy = 4.43 states/eV/cell
1.0
-1.510 -2.301 3.668
3.750 1.247 2.326
-6.492 11.293 4.411
In Tm Sc
9 2 1
direct
0.500 0.000 0.500
0.500 0.500 0.332
0.500 0.000 0.838
0.500 0.000 0.162
0.500 0.500 0.000
0.000 0.500 0.838
0.000 0.500 0.162
0.500 0.500 0.668
0.000 0.500 0.500
0.000 0.000 0.669
0.000 0.000 0.331
0.000 0.000 0.000